Material: MnNi2PO6
Method: DFT, GGA+U
State: optimized geometry

**Symmetry**: No. 99
**E**: -59.22 eV/cell

Lattice parameters (Å, degrees): 4.360 5.123 5.123 90.00 90.00 90.00
Fractional coordinates of all 10 atoms:
Mn (0.589, 0.500, 0.500)
Ni (0.941, 0.500, 0.000)
Ni (0.941, 0.000, 0.500)
P (0.612, 0.000, 0.000)
O (0.730, 0.224, 0.224)
O (0.730, 0.224, 0.776)
O (0.180, 0.500, 0.500)
O (0.263, 0.000, 0.000)
O (0.730, 0.776, 0.776)
O (0.730, 0.776, 0.224)